Here is crystalline V4O7F5 at its relaxed geometry from Alexandria. Energies are from GGA+U.

a b c (Å): 5.373 5.529 9.413
angles (deg): 87.36 98.09 120.96
Last column: magnetic moment on the atom in μB.
Fractional positions:
O 0.220 0.470 0.890  -0.13
O 0.631 0.387 0.391  0.00
O 0.409 0.046 0.622  -0.01
O 0.886 0.759 0.083  0.00
O 0.850 0.212 0.102  0.00
O 0.890 0.571 0.673  -0.03
O 0.420 0.834 0.273  0.00
F 0.383 0.247 0.130  0.00
F 0.355 0.540 0.611  0.00
F 0.724 0.951 0.842  0.00
F 0.968 0.173 0.381  0.00
F 0.240 0.989 0.883  0.01
V 0.010 0.062 0.012  0.01
V 0.666 0.159 0.263  0.00
V 0.283 0.724 0.776  1.08
V 0.566 0.377 0.568  0.06

Summary:
**Space group**: P1 (1)
**E above lowest polymorph**: 0.47 eV/f.u.
**Mass density**: 2.87 g/cm3
**V**: 14.83 A^3/atom